The following is a PBE-GGA calculation of ScSiRh2 after structural relaxation, from Alexandria via LeMat-Bulk.

Summary:
- ρ (g cm⁻³) = 7.0
- total moment (μB per atom) = 0.000
- raw formation energy (eV/f.u.) = -1.416
- DOS(E_F) (states/eV per cell) = 3.09

The structure in extended XYZ format:
```
4
Lattice="8.098 0.022 0.013 7.490 3.079 0.013 7.490 1.490 2.694" Properties=species:S:1:pos:R:3 pbc="T T T"
Rh 5.702 1.134 0.672
Rh 0.232 0.046 0.027
Sc 11.606 2.309 1.368
Si 17.077 3.397 2.013
```

The following is a PBE-GGA calculation of In2Au2S after structural relaxation, from Alexandria via LeMat-Bulk.

Summary:
- ρ (g cm⁻³) = 9.7
- total moment (μB per atom) = 0.000
- raw formation energy (eV/f.u.) = 0.011
- DOS(E_F) (states/eV per cell) = 4.78
- offset from the most stable computed form (eV per atom) = 0.023

The structure in extended XYZ format:
```
10
Lattice="7.602 0.000 0.000 0.000 7.602 0.000 0.000 0.000 3.873" Properties=species:S:1:pos:R:3 pbc="T T T"
S 3.801 3.801 0.000
S 0.000 0.000 0.000
Au 6.643 2.842 1.937
Au 4.760 6.643 1.937
Au 0.959 4.760 1.937
Au 2.842 0.959 1.937
In 2.417 6.218 0.000
In 6.218 5.185 0.000
In 1.384 2.417 0.000
In 5.185 1.384 0.000
```